Th4TeAu after structural relaxation, computed with PBE-GGA.

## Properties
The calculation puts the total magnetization at 0.00 μB per cell. The calculation puts the total energy at -6.524 eV/atom. As for the space group: P4/mcc.

Cell and atoms, written as extended XYZ:
```
12
Lattice="7.392 0.000 0.000 0.000 7.392 0.000 0.000 0.000 6.574" Properties=species:S:1:pos:R:3 pbc="T T T"
Th 1.114 2.513 0.000
Th 1.114 4.879 3.287
Th 2.513 1.114 3.287
Th 2.513 6.278 0.000
Th 4.879 1.114 0.000
Th 4.879 6.278 3.287
Th 6.278 2.513 3.287
Th 6.278 4.879 0.000
Te 3.696 3.696 1.643
Te 3.696 3.696 4.930
Au 0.000 0.000 1.643
Au 0.000 0.000 4.930
```